# 1
Entry from Alexandria via LeMat-Bulk: an optimized crystal structure of CrCd2Br (PBE).

**Crystal system**: trigonal
**Magnetic moment**: 4.59 μB per formula unit
**ΔE_f (raw)**: 0.16 eV per atom
**Final energy**: -0.1147 Ha/atom
**Relative energy among the computed polymorphs**: 58 meV per atom
**Symmetry**: R-3m (166)

The structure in POSCAR format:
```
CrCd2Br
1.0
-2.469 -7.027 -4.794
1.086 -7.103 -5.179
-0.430 -8.548 -2.280
Cd Cr Br
2 1 1
direct
0.996 0.996 0.996
0.504 0.504 0.504
0.250 0.250 0.250
0.750 0.750 0.750
```

***

# 2
Entry from Alexandria via LeMat-Bulk: an optimized crystal structure of CrCd4Br (PBE).

**Crystal system**: cubic
**Magnetic moment**: 4.59 μB per formula unit
**ΔE_f (raw)**: 0.33 eV per atom
**Final energy**: -0.0796 Ha/atom
**Symmetry**: F-43m (216)

The structure in POSCAR format:
```
CrCd4Br
1.0
-5.119 -0.945 -2.880
-4.435 3.939 0.447
-1.454 3.385 -4.671
Cd Br Cr
4 1 1
direct
0.376 0.873 0.376
0.376 0.376 0.873
0.376 0.376 0.376
0.873 0.376 0.376
0.000 0.000 0.000
0.750 0.750 0.750
```

***

# 3
Entry from Alexandria via LeMat-Bulk: an optimized crystal structure of CrCd2Br (PBE).

**Crystal system**: monoclinic
**Magnetic moment**: 4.61 μB per formula unit
**ΔE_f (raw)**: 0.21 eV per atom
**Final energy**: -0.1128 Ha/atom
**Relative energy among the computed polymorphs**: 108 meV per atom
**Symmetry**: C2/m (12)

The structure in POSCAR format:
```
CrCd2Br
1.0
5.433 -0.013 -0.008
-2.467 4.841 -0.008
0.010 0.016 3.557
Br Cr Cd
1 1 2
direct
0.000 0.500 0.500
0.500 0.000 0.500
0.500 0.500 0.000
0.000 0.000 0.000
```

***

# 4
Entry from Alexandria via LeMat-Bulk: an optimized crystal structure of CrCd3Br (PBE).

**Crystal system**: cubic
**Magnetic moment**: 4.83 μB per formula unit
**ΔE_f (raw)**: 0.35 eV per atom
**Final energy**: -0.0902 Ha/atom
**Relative energy among the computed polymorphs**: 0 meV per atom
**Symmetry**: Pm-3m (221)

The structure in POSCAR format:
```
CrCd3Br
1.0
-0.994 3.286 -4.226
-3.908 -3.384 -1.712
-3.660 2.721 2.976
Cr Cd Br
1 3 1
direct
0.000 0.000 0.000
0.000 0.000 0.500
0.000 0.500 0.000
0.500 0.000 0.000
0.500 0.500 0.500
```

***

# 5
Entry from Alexandria via LeMat-Bulk: an optimized crystal structure of CrCd2Br (PBE).

**Crystal system**: tetragonal
**Magnetic moment**: 4.46 μB per formula unit
**ΔE_f (raw)**: 0.32 eV per atom
**Final energy**: -0.1087 Ha/atom
**Relative energy among the computed polymorphs**: 221 meV per atom
**Symmetry**: I-4m2 (119)

The structure in POSCAR format:
```
CrCd2Br
1.0
5.718 -0.041 0.000
2.369 5.205 0.000
-4.044 -2.582 3.112
Cd Cr Br
2 1 1
direct
0.250 0.750 0.500
0.000 0.000 0.000
0.500 0.500 0.000
0.750 0.250 0.500
```

***

# 6
Entry from Alexandria via LeMat-Bulk: an optimized crystal structure of CrCd2Br (PBE).

**Crystal system**: monoclinic
**Magnetic moment**: 4.32 μB per formula unit
**ΔE_f (raw)**: 0.12 eV per atom
**Final energy**: -0.1162 Ha/atom
**Relative energy among the computed polymorphs**: 16 meV per atom
**Symmetry**: Cm (8)

The structure in POSCAR format:
```
CrCd2Br
1.0
-3.352 3.853 1.366
-4.874 0.732 1.910
-0.952 1.744 7.343
Br Cd Cr
1 2 1
direct
0.209 0.209 0.286
0.764 0.764 0.745
0.986 0.986 0.900
0.541 0.541 0.569
```

***

# 7
Entry from Alexandria via LeMat-Bulk: an optimized crystal structure of CsCrCdBr6 (PBE).

**Crystal system**: trigonal
**Magnetic moment**: 3.00 μB per formula unit
**ΔE_f (raw)**: -1.03 eV per atom
**Final energy**: -0.1253 Ha/atom
**Symmetry**: P312 (149)

The structure in POSCAR format:
```
CsCrCdBr6
1.0
7.000 0.000 0.000
3.500 6.062 0.000
0.000 -0.001 8.126
Cd Br Cs Cr
1 6 1 1
direct
0.333 0.333 0.500
0.970 0.644 0.684
0.644 0.386 0.684
0.644 0.970 0.316
0.386 0.644 0.316
0.970 0.385 0.316
0.385 0.970 0.684
0.000 0.000 0.000
0.667 0.667 0.500
```

***

# 8
Entry from Alexandria via LeMat-Bulk: an optimized crystal structure of CsCr2CdBr8 (PBE).

**Crystal system**: trigonal
**Magnetic moment**: 7.00 μB per formula unit
**ΔE_f (raw)**: -0.80 eV per atom
**Final energy**: -0.1348 Ha/atom
**Symmetry**: R-3 (148)

The structure in POSCAR format:
```
CsCr2CdBr8
1.0
7.027 0.000 0.000
3.514 6.086 0.000
3.514 2.029 9.857
Br Cs Cr Cd
8 1 2 1
direct
0.064 0.378 0.832
0.622 0.274 0.168
0.274 0.936 0.168
0.378 0.726 0.832
0.936 0.622 0.168
0.181 0.181 0.458
0.819 0.819 0.542
0.726 0.064 0.832
0.500 0.500 0.500
0.261 0.261 0.217
0.739 0.739 0.783
0.000 0.000 0.000
```